Entry 1:
Density functional theory data (PBE) for a geometry-optimized Al4Fe5Cu structure.

calculated total energy = -6.25 eV per atom
volume = 132.82 Å³/cell
total magnetization = 8.225 μB/f.u.
crystal system = orthorhombic
formation energy = -10.50 kJ/mol of atoms
space-group type = Immm
N(E_F) = 6.59 states/eV per cell

Unit cell a=3.9823 b=6.1091 c=6.1091 alpha=83.06 beta=70.98 gamma=70.98
Closest atoms and distances in Å follow each position.
Positions (direct):
Al: 0.0579 0.6921 0.6921  8 Fe 2.48-2.70, 1 Cu 2.54
Al: 0.4421 0.3079 0.3079  8 Fe 2.48-2.70, 1 Cu 2.54
Al: 0.2500 0.2126 0.7874  6 Fe 2.51-2.67, 2 Cu 2.63
Al: 0.2500 0.7874 0.2126  6 Fe 2.51-2.67, 2 Cu 2.63
Fe: 0.5745 0.4504 0.9005  3 Fe 2.33-2.37, 3 Al 2.48-2.51
Fe: 0.9255 0.5496 0.0995  3 Fe 2.33-2.37, 3 Al 2.48-2.51
Fe: 0.9255 0.0995 0.5496  3 Fe 2.33-2.37, 3 Al 2.48-2.51
Fe: 0.5745 0.9005 0.4504  3 Fe 2.33-2.37, 3 Al 2.48-2.51
Fe: 0.7500 0.5000 0.5000  4 Fe 2.33, 4 Al 2.54
Cu: 0.7500 0.0000 0.0000  6 Al 2.54-2.63, 4 Fe 2.65

Entry 2:
Density functional theory data (PBE) for a geometry-optimized AlFe3Cu structure.

calculated total energy = -5.64 eV per atom
volume = 81.37 Å³/cell
distance to the lowest polymorph of the same formula = 881.8 meV/atom
total magnetization = 8.420 μB/f.u.
crystal system = cubic
formation energy = 96.65 kJ/mol of atoms
space-group type = Pm-3m
N(E_F) = 5.77 states/eV per cell

Unit cell a=4.3333 b=4.3333 c=4.3333 alpha=90.00 beta=90.00 gamma=90.00
Closest atoms and distances in Å follow each position.
Positions (direct):
Fe: 0.0000 0.5000 0.0000  2 Cu 2.17
Fe: 0.5000 0.0000 0.0000  2 Cu 2.17
Fe: 0.0000 0.0000 0.5000  2 Cu 2.17
Cu: 0.0000 0.0000 0.0000  6 Fe 2.17
Al: 0.5000 0.5000 0.5000  12 Fe 3.06

Entry 3:
Density functional theory data (PBE) for a geometry-optimized Al37Fe12Cu2 structure.

calculated total energy = -5.20 eV per atom
volume = 724.96 Å³/cell
total magnetization = 0.001 μB/f.u.
crystal system = monoclinic
formation energy = -31.88 kJ/mol of atoms
space-group type = Cm
N(E_F) = 23.18 states/eV per cell

Unit cell a=7.8718 b=8.7196 c=12.4532 alpha=106.10 beta=90.00 gamma=116.83
Closest atoms and distances in Å follow each position.
Positions (direct):
Al: 0.6072 0.6381 0.6626  3 Fe 2.42-2.67, 2 Al 2.66-2.70
Al: 0.1590 0.7329 0.1092  2 Fe 2.43-2.51, 2 Al 2.65-2.70
Al: 0.7669 0.5338 0.4577  2 Fe 2.44-2.47, 1 Al 2.70
Al: 0.3968 0.3596 0.3383  3 Fe 2.44-2.61, 2 Al 2.67-2.70
Al: 0.9629 0.3596 0.3383  3 Fe 2.44-2.61, 2 Al 2.67-2.70
Al: 0.7601 0.5202 0.0432  2 Fe 2.43-2.48, 1 Al 2.69
Al: 0.8494 0.2558 0.8870  3 Fe 2.49-2.72, 1 Cu 2.54, 4 Al 2.69-2.79
Al: 0.3217 0.6434 0.2815  2 Fe 2.33
Al: 0.8391 0.2643 0.5234  2 Fe 2.45, 1 Cu 2.56, 3 Al 2.68-2.70
Al: 0.5215 0.0430 0.1686  3 Fe 2.43-2.56, 1 Al 2.54
Al: 0.7102 0.9786 0.3347  3 Fe 2.43-2.61, 1 Cu 2.69, 2 Al 2.69-2.70
Al: 0.5739 0.7329 0.1092  2 Fe 2.43-2.51, 2 Al 2.65-2.70
Al: 0.4809 0.9617 0.8314  3 Fe 2.43-2.58, 1 Al 2.53
Al: 0.1606 0.7370 0.4790  2 Fe 2.44-2.49, 1 Cu 2.58, 3 Al 2.67-2.70
Al: 0.2684 0.9786 0.3347  3 Fe 2.43-2.61, 1 Cu 2.69, 2 Al 2.69-2.70
Al: 0.0309 0.6381 0.6626  3 Fe 2.42-2.67, 2 Al 2.66-2.70
Al: 0.9166 0.8332 0.2147  4 Fe 2.49-2.78, 7 Al 2.52-2.70
Al: 0.4252 0.2643 0.5234  2 Fe 2.45, 1 Cu 2.56, 3 Al 2.68-2.70
Al: 0.6743 0.3487 0.7228  2 Fe 2.32
Al: 0.2326 0.4652 0.9371  2 Fe 2.51-2.52, 1 Cu 2.56, 5 Al 2.69-2.76
Al: 0.9293 0.8587 0.4216  4 Fe 2.47-2.61, 7 Al 2.52-2.74
Al: 0.2506 0.0000 0.0017  4 Fe 2.45-2.46
Al: 0.6021 0.6294 0.8873  3 Fe 2.44-2.72, 2 Al 2.68-2.70
Al: 0.7403 0.0203 0.6697  3 Fe 2.46-2.64, 2 Cu 2.59-2.73, 2 Al 2.69-2.70
Al: 0.2800 0.0203 0.6697  3 Fe 2.46-2.64, 2 Cu 2.59-2.73, 2 Al 2.69-2.70
Al: 0.6933 0.3867 0.2267  4 Fe 2.47-2.60, 6 Al 2.54-2.75
Al: 0.4005 0.3733 0.1109  2 Fe 2.41-2.52, 1 Al 2.66
Al: 0.9728 0.3733 0.1109  2 Fe 2.41-2.52, 1 Al 2.66
Al: 0.0273 0.6294 0.8873  3 Fe 2.44-2.72, 2 Al 2.68-2.70
Al: 0.0751 0.1501 0.5871  1 Cu 2.42, 6 Al 2.55-2.69, 4 Fe 2.57-2.65
Al: 0.4064 0.2558 0.8870  3 Fe 2.49-2.72, 1 Cu 2.54, 4 Al 2.69-2.79
Al: 0.3098 0.6196 0.7705  4 Fe 2.46-2.61, 7 Al 2.53-2.72
Al: 0.7494 0.0000 0.0017  4 Fe 2.45-2.46
Al: 0.9419 0.8837 0.8266  1 Cu 2.37, 3 Fe 2.51-2.60
Al: 0.2332 0.4664 0.5420  2 Fe 2.46-2.55, 2 Al 2.69-2.72
Al: 0.5764 0.7370 0.4790  2 Fe 2.44-2.49, 1 Cu 2.58, 3 Al 2.67-2.70
Al: 0.0661 0.1321 0.1755  3 Fe 2.40-2.65, 1 Al 2.52
Fe: 0.4020 0.8039 0.9853  8 Al 2.43-2.61
Fe: 0.0836 0.1671 0.3822  8 Al 2.44-2.61
Fe: 0.9785 0.3693 0.7223  7 Al 2.32-2.57, 1 Cu 2.58
Fe: 0.5983 0.1965 0.0138  10 Al 2.43-2.72
Fe: 0.3907 0.3693 0.7223  7 Al 2.32-2.57, 1 Cu 2.58
Fe: 0.9120 0.8239 0.6120  8 Al 2.42-2.65
Fe: 0.0911 0.1822 0.9951  7 Al 2.40-2.60, 1 Cu 2.59
Fe: 0.6035 0.2070 0.3696  9 Al 2.43-2.61, 1 Cu 2.63
Fe: 0.6153 0.6397 0.2771  8 Al 2.33-2.60
Fe: 0.0244 0.6397 0.2771  8 Al 2.33-2.60
Fe: 0.9097 0.8194 0.0117  8 Al 2.44-2.65
Fe: 0.3980 0.7960 0.6310  9 Al 2.43-2.67, 1 Cu 2.59
Cu: 0.5012 0.0024 0.5031  8 Al 2.56-2.73, 2 Fe 2.59-2.63
Cu: 0.0793 0.1586 0.7827  7 Al 2.37-2.59, 3 Fe 2.58-2.59

Entry 4:
Density functional theory data (PBE) for a geometry-optimized Al3Fe2Cu structure.

calculated total energy = -5.69 eV per atom
volume = 73.50 Å³/cell
total magnetization = 0.130 μB/f.u.
crystal system = tetragonal
formation energy = -30.16 kJ/mol of atoms
space-group type = P4/mmm
N(E_F) = 5.35 states/eV per cell

Unit cell a=2.9310 b=2.9310 c=8.5563 alpha=90.00 beta=90.00 gamma=90.00
Closest atoms and distances in Å follow each position.
Positions (direct):
Fe: 0.5000 0.5000 0.1684  8 Al 2.43-2.52
Fe: 0.5000 0.5000 0.8316  8 Al 2.43-2.52
Al: 0.0000 0.0000 0.6831  4 Fe 2.43, 4 Cu 2.60, 1 Al 2.71
Al: 0.0000 0.0000 0.0000  8 Fe 2.52, 2 Al 2.71
Al: 0.0000 0.0000 0.3169  4 Fe 2.43, 4 Cu 2.60, 1 Al 2.71
Cu: 0.5000 0.5000 0.5000  8 Al 2.60, 2 Fe 2.84

Entry 5:
Density functional theory data (PBE) for a geometry-optimized AlFe2Cu structure.

calculated total energy = -6.28 eV per atom
volume = 49.15 Å³/cell
total magnetization = 4.592 μB/f.u.
crystal system = monoclinic
formation energy = -8.99 kJ/mol of atoms
space-group type = P2/m
N(E_F) = 2.01 states/eV per cell

Unit cell a=3.8076 b=2.5725 c=5.6268 alpha=63.10 beta=90.00 gamma=90.00
Closest atoms and distances in Å follow each position.
Positions (direct):
Cu: 0.5000 0.7500 0.7500  2 Al 2.51, 2 Cu 2.57, 8 Fe 2.61-2.62
Al: 0.5000 0.2500 0.2500  2 Cu 2.51, 2 Al 2.57, 8 Fe 2.62
Fe: 0.0000 0.9982 0.0004  4 Fe 2.51-2.57, 4 Cu 2.61-2.62, 4 Al 2.62
Fe: 0.0000 0.5018 0.4996  4 Fe 2.51-2.57, 4 Cu 2.61-2.62, 4 Al 2.62

Entry 6:
Density functional theory data (PBE) for a geometry-optimized Al2FeCu structure.

calculated total energy = -5.26 eV per atom
volume = 51.05 Å³/cell
total magnetization = 1.138 μB/f.u.
crystal system = tetragonal
formation energy = -24.01 kJ/mol of atoms
space-group type = I-4m2
N(E_F) = 1.92 states/eV per cell

Unit cell a=4.7687 b=4.7687 c=4.7687 alpha=136.32 beta=136.32 gamma=63.49
Closest atoms and distances in Å follow each position.
Positions (direct):
Al: 0.0000 0.0000 0.0000  4 Cu 2.51, 4 Fe 2.69, 4 Al 2.69
Al: 0.2500 0.7500 0.5000  4 Fe 2.51, 4 Cu 2.69, 4 Al 2.69
Cu: 0.5000 0.5000 0.0000  8 Al 2.51-2.69, 4 Fe 2.69
Fe: 0.7500 0.2500 0.5000  8 Al 2.51-2.69, 4 Cu 2.69

Entry 7:
Density functional theory data (PBE) for a geometry-optimized Al2FeCu structure.

calculated total energy = -5.17 eV per atom
volume = 53.26 Å³/cell
total magnetization = 2.141 μB/f.u.
crystal system = trigonal
formation energy = -15.20 kJ/mol of atoms
space-group type = R3m
N(E_F) = 2.38 states/eV per cell

Unit cell a=2.7412 b=2.7412 c=8.3358 alpha=80.54 beta=80.54 gamma=60.00
Closest atoms and distances in Å follow each position.
Positions (direct):
Al: 0.2517 0.2517 0.2450  3 Fe 2.55, 3 Cu 2.61, 6 Al 2.74
Al: 0.0814 0.0814 0.7559  3 Fe 2.55, 3 Cu 2.64, 6 Al 2.74
Cu: 0.5006 0.5006 0.4983  6 Al 2.61-2.64, 6 Cu 2.74
Fe: 0.6664 0.6664 0.0008  6 Al 2.55, 6 Fe 2.74

Entry 8:
Density functional theory data (PBE) for a geometry-optimized Al4FeCu structure.

calculated total energy = -4.30 eV per atom
volume = 89.11 Å³/cell
total magnetization = 0.977 μB/f.u.
crystal system = cubic
formation energy = 28.16 kJ/mol of atoms
space-group type = F-43m
N(E_F) = 3.96 states/eV per cell

Unit cell a=5.0136 b=5.0136 c=5.0136 alpha=60.00 beta=60.00 gamma=60.00
Closest atoms and distances in Å follow each position.
Positions (direct):
Al: 0.1246 0.6251 0.6251  6 Al 2.50-2.51
Al: 0.6251 0.1246 0.6251  6 Al 2.50-2.51
Al: 0.6251 0.6251 0.6251  6 Al 2.50-2.51
Al: 0.6251 0.6251 0.1246  6 Al 2.50-2.51
Cu: 0.2500 0.2500 0.2500  12 Al 2.94, 4 Fe 3.07
Fe: 0.0000 0.0000 0.0000  12 Al 2.94, 4 Cu 3.07

Question: Number 4 is which compound?
Answer: Al3Fe2Cu

Question: The highest total magnetization belongs to which entry?
Answer: AlFe3Cu

Question: Among the records above, which one has the lowest formation energy?
Answer: Al37Fe12Cu2

Question: Number 7 is which compound?
Answer: Al2FeCu